Entry 1:
The following is a PBE calculation of Ga2TcHg2 after structural relaxation, from Alexandria via LeMat-Bulk.

Structure (POSCAR):
```
Ga2TcHg2
1.0
6.880 0.000 0.000
0.000 6.880 0.000
0.000 0.000 4.021
Ga Hg Tc
4 4 2
Direct
0.154 0.346 0.000 Ga
0.346 0.846 0.000 Ga
0.846 0.654 0.000 Ga
0.654 0.154 0.000 Ga
0.657 0.843 0.500 Hg
0.843 0.343 0.500 Hg
0.157 0.657 0.500 Hg
0.343 0.157 0.500 Hg
0.000 0.000 0.000 Tc
0.500 0.500 0.000 Tc
```

magnetic moment	0.0	Bohr magnetons per cell
formation energy	0.4021	eV/atom
space group	P4/mbm, No. 127
offset from the most stable computed form	0	meV per atom

---

Entry 2:
The following is a PBE calculation of GaTcHg3 after structural relaxation, from Alexandria via LeMat-Bulk.

Structure (POSCAR):
```
GaTcHg3
1.0
5.814 0.000 0.006
-1.333 5.884 -0.008
-2.705 -1.273 6.507
Tc Hg Ga
2 6 2
Direct
0.381 0.075 0.342 Tc
0.980 0.811 0.102 Tc
0.692 0.956 0.733 Hg
0.551 0.422 0.711 Hg
0.988 0.166 0.502 Hg
0.102 0.663 0.785 Hg
0.632 0.443 0.204 Hg
0.072 0.341 0.107 Hg
0.185 0.723 0.459 Ga
0.582 0.891 0.141 Ga
```

magnetic moment	0.0	Bohr magnetons per cell
formation energy	0.2032	eV/atom
space group	P1, No. 1
offset from the most stable computed form	63	meV per atom

---

Entry 3:
The following is a PBE calculation of GaTcHg3 after structural relaxation, from Alexandria via LeMat-Bulk.

Structure (POSCAR):
```
GaTcHg3
1.0
-2.099 -1.103 4.883
-0.991 -5.266 1.397
8.376 -3.357 2.899
Hg Tc Ga
6 2 2
Direct
0.555 0.236 0.502 Hg
0.221 0.983 0.328 Hg
0.882 0.646 0.319 Hg
0.513 0.111 0.878 Hg
0.185 0.717 0.063 Hg
0.845 0.368 0.055 Hg
0.445 0.677 0.800 Tc
0.620 0.669 0.582 Tc
0.056 0.173 0.663 Ga
0.004 0.671 0.724 Ga
```

magnetic moment	0.0	Bohr magnetons per cell
formation energy	0.1398	eV/atom
space group	P1, No. 1
offset from the most stable computed form	0	meV per atom

---

Entry 4:
The following is a PBE calculation of GaTc2Hg after structural relaxation, from Alexandria via LeMat-Bulk.

Structure (POSCAR):
```
GaTc2Hg
1.0
7.290 0.000 0.000
0.000 7.290 0.000
3.645 3.645 2.626
Hg Ga Tc
2 2 4
Direct
0.000 0.000 0.000 Hg
0.750 0.250 0.500 Hg
0.500 0.500 0.000 Ga
0.250 0.750 0.500 Ga
0.158 0.625 0.250 Tc
0.875 0.842 0.750 Tc
0.592 0.125 0.250 Tc
0.375 0.408 0.750 Tc
```

magnetic moment	0.0	Bohr magnetons per cell
formation energy	0.7347	eV/atom
space group	I-42d, No. 122
offset from the most stable computed form	247	meV per atom

---

Entry 5:
The following is a PBE calculation of Ga2TcHg2 after structural relaxation, from Alexandria via LeMat-Bulk.

Structure (POSCAR):
```
Ga2TcHg2
1.0
3.712 0.000 0.000
0.000 3.712 0.000
1.856 1.856 7.775
Hg Tc Ga
2 1 2
Direct
0.750 0.250 0.500 Hg
0.250 0.750 0.500 Hg
0.000 0.000 0.000 Tc
0.580 0.580 0.841 Ga
0.420 0.420 0.159 Ga
```

magnetic moment	0.0	Bohr magnetons per cell
formation energy	0.6686	eV/atom
space group	I4/mmm, No. 139
offset from the most stable computed form	267	meV per atom

---

Entry 6:
The following is a PBE calculation of GaTc3Hg after structural relaxation, from Alexandria via LeMat-Bulk.

Structure (POSCAR):
```
GaTc3Hg
1.0
-1.643 4.686 0.705
-4.243 -1.787 1.989
2.110 0.055 4.550
Tc Ga Hg
3 1 1
Direct
0.500 0.000 0.000 Tc
0.000 0.500 0.000 Tc
0.000 0.000 0.500 Tc
0.500 0.500 0.500 Ga
0.000 0.000 0.000 Hg
```

magnetic moment	7.5	Bohr magnetons per cell
formation energy	2.4258	eV/atom
space group	Pm-3m, No. 221
offset from the most stable computed form	969	meV per atom

---

Entry 7:
The following is a PBE calculation of GaTcHg3 after structural relaxation, from Alexandria via LeMat-Bulk.

Structure (POSCAR):
```
GaTcHg3
1.0
5.251 -0.014 -0.008
1.581 5.176 0.003
1.816 1.204 8.704
Ga Hg Tc
2 6 2
Direct
0.202 0.512 0.649 Ga
0.542 0.076 0.849 Ga
0.782 0.056 0.493 Hg
0.197 0.361 0.332 Hg
0.139 0.739 0.061 Hg
0.775 0.339 0.089 Hg
0.657 0.576 0.732 Hg
0.548 0.754 0.309 Hg
0.271 0.974 0.589 Tc
0.051 0.120 0.811 Tc
```

magnetic moment	0.0	Bohr magnetons per cell
formation energy	0.1787	eV/atom
space group	P1, No. 1
offset from the most stable computed form	39	meV per atom

---

Entry 8:
The following is a PBE calculation of GaTcHg3 after structural relaxation, from Alexandria via LeMat-Bulk.

Structure (POSCAR):
```
GaTcHg3
1.0
5.155 0.000 0.000
0.000 5.155 0.000
0.000 0.000 5.155
Ga Hg Tc
1 3 1
Direct
0.000 0.000 0.000 Ga
0.500 0.000 0.000 Hg
0.000 0.500 0.000 Hg
0.000 0.000 0.500 Hg
0.500 0.500 0.500 Tc
```

magnetic moment	4.1	Bohr magnetons per cell
formation energy	1.0492	eV/atom
space group	Pm-3m, No. 221
offset from the most stable computed form	909	meV per atom

---

Entry 9:
The following is a PBE calculation of GaTcHg3 after structural relaxation, from Alexandria via LeMat-Bulk.

Structure (POSCAR):
```
GaTcHg3
1.0
4.097 0.000 0.001
0.000 9.940 0.000
-2.038 0.000 5.425
Ga Tc Hg
2 2 6
Direct
0.141 0.000 0.083 Ga
0.141 0.500 0.583 Ga
0.517 0.500 0.330 Tc
0.517 0.000 0.830 Tc
0.494 0.756 0.568 Hg
0.494 0.244 0.568 Hg
0.494 0.256 0.068 Hg
0.859 0.500 0.951 Hg
0.494 0.744 0.068 Hg
0.859 0.000 0.451 Hg
```

magnetic moment	1.1	Bohr magnetons per cell
formation energy	0.2922	eV/atom
space group	Cm, No. 8
offset from the most stable computed form	152	meV per atom

---

Entry 10:
The following is a PBE calculation of GaTc2Hg after structural relaxation, from Alexandria via LeMat-Bulk.

Structure (POSCAR):
```
GaTc2Hg
1.0
0.000 3.172 3.172
3.172 0.000 3.172
3.172 3.172 0.000
Tc Hg Ga
2 1 1
Direct
0.750 0.750 0.750 Tc
0.250 0.250 0.250 Tc
0.500 0.500 0.500 Hg
0.000 0.000 0.000 Ga
```

magnetic moment	0.0	Bohr magnetons per cell
formation energy	0.4877	eV/atom
space group	Fm-3m, No. 225
offset from the most stable computed form	0	meV per atom

---

Entry 11:
The following is a PBE calculation of GaTcHg2 after structural relaxation, from Alexandria via LeMat-Bulk.

Structure (POSCAR):
```
GaTcHg2
1.0
3.971 0.000 0.000
0.000 3.971 0.000
1.985 1.985 10.225
Ga Hg Tc
2 4 2
Direct
0.500 0.500 0.000 Ga
0.250 0.750 0.500 Ga
0.631 0.125 0.250 Hg
0.375 0.369 0.750 Hg
0.119 0.625 0.250 Hg
0.875 0.881 0.750 Hg
0.750 0.250 0.500 Tc
0.000 0.000 0.000 Tc
```

magnetic moment	1.7	Bohr magnetons per cell
formation energy	0.5940	eV/atom
space group	I-42d, No. 122

---

Entry 12:
The following is a PBE calculation of GaTcHg3 after structural relaxation, from Alexandria via LeMat-Bulk.

Structure (POSCAR):
```
GaTcHg3
1.0
2.876 0.000 0.038
0.000 7.457 0.000
-1.511 0.000 10.030
Hg Tc Ga
6 2 2
Direct
0.114 0.615 0.745 Hg
0.886 0.615 0.255 Hg
0.000 0.411 0.000 Hg
0.000 0.911 0.500 Hg
0.886 0.115 0.755 Hg
0.114 0.115 0.245 Hg
0.500 0.075 0.000 Tc
0.500 0.575 0.500 Tc
0.000 0.786 0.000 Ga
0.000 0.286 0.500 Ga
```

magnetic moment	0.0	Bohr magnetons per cell
formation energy	0.2806	eV/atom
space group	C2, No. 5
offset from the most stable computed form	141	meV per atom

---

Entry 13:
The following is a PBE calculation of GaHgTe2 after structural relaxation, from Alexandria via LeMat-Bulk.

Structure (POSCAR):
```
GaHgTe2
1.0
1.845 0.000 12.803
-0.923 1.598 12.803
-0.923 -1.598 12.803
Te Ga Hg
2 1 1
Direct
0.925 0.925 0.925 Te
0.075 0.075 0.075 Te
0.000 0.000 0.000 Ga
0.500 0.500 0.500 Hg
```

energy relative to the elements, uncorrected	139	meV per atom
magnetic moment	0.0	Bohr magnetons per cell
space group	R-3m, No. 166

---

Entry 14:
The following is a PBE calculation of GaHgTe2 after structural relaxation, from Alexandria via LeMat-Bulk.

Structure (POSCAR):
```
GaHgTe2
1.0
6.096 6.379 0.875
8.401 2.834 -0.129
6.456 5.123 -3.270
Ga Hg Te
1 1 2
Direct
0.500 0.500 0.500 Ga
0.000 0.000 0.000 Hg
0.107 0.107 0.107 Te
0.893 0.893 0.893 Te
```

energy relative to the elements, uncorrected	-21	meV per atom
magnetic moment	0.0	Bohr magnetons per cell
space group	R-3m, No. 166